(1)
The following is a DFT calculation (PBE-GGA) of a relaxed Ce4Te2AsSe crystal.

Values from the calculation:
formation energy from raw total energies: -1508 meV per atom
crystal system: monoclinic
calculated total energy: -6.277 eV/atom
total moment: 4.0 μB/cell

The structure in CIF format:
```
data_Ce4Te2AsSe
_cell_length_a 7.471
_cell_length_b 4.315
_cell_length_c 7.651
_cell_angle_alpha 90.00
_cell_angle_beta 109.00
_cell_angle_gamma 90.00
_space_group_name_H-M_alt 'P 1 2/m 1'
_space_group_IT_number 10
_space_group_name_Hall '-P 2y'
loop_
_atom_site_label
_atom_site_type_symbol
_atom_site_fract_x
_atom_site_fract_y
_atom_site_fract_z
Ce1 Ce 0.239 0.000 0.225
Ce2 Ce 0.256 0.500 0.775
Te1 Te 0.000 0.000 0.500
Te2 Te 0.500 0.500 0.500
As1 As 0.000 0.500 0.000
Se1 Se 0.500 0.000 0.000
```

***

(2)
The following is a DFT calculation (PBE-GGA) of a relaxed Ce4TeAs2Se crystal.

Values from the calculation:
formation energy from raw total energies: -1517 meV per atom
crystal system: monoclinic
calculated total energy: -6.475 eV/atom
total moment: 3.9 μB/cell

The structure in CIF format:
```
data_Ce4TeAs2Se
_cell_length_a 7.426
_cell_length_b 4.277
_cell_length_c 7.465
_cell_angle_alpha 90.00
_cell_angle_beta 109.30
_cell_angle_gamma 90.00
_space_group_name_H-M_alt 'P 1 2/m 1'
_space_group_IT_number 10
_space_group_name_Hall '-P 2y'
loop_
_atom_site_label
_atom_site_type_symbol
_atom_site_fract_x
_atom_site_fract_y
_atom_site_fract_z
Ce1 Ce 0.236 0.000 0.232
Ce2 Ce 0.247 0.500 0.763
Te1 Te 0.500 0.500 0.500
As1 As 0.000 0.500 0.000
As2 As 0.500 0.000 0.000
Se1 Se 0.000 0.000 0.500
```